# 1
3
Lattice="-2.8209 1.1497 -3.3246 -1.0966 -3.0139 -3.1696 -4.1628 -1.7287 -0.1235" Properties=species:S:1:pos:R:3 comment="KCoRe, single point on PBEsol structure, DFT meta-GGA SCAN" total_magnetization_mub_per_cell=5.3 mass_density_g_cm3=7.3 crystal_system=cubic dos_ef_per_ev_cell=6.1 pbc="T T T"
Re 0.0000 0.0000 0.0000
K -6.0602 -2.6946 -4.9633
Co -4.0401 -1.7964 -3.3089



# 2
4
Lattice="-1.6517 -0.3809 -4.0209 0.3134 -3.7913 -2.1373 -3.5640 -2.4257 -0.6739" Properties=species:S:1:pos:R:3 comment="KCo2Rh, single point on PBEsol structure, DFT meta-GGA SCAN" total_magnetization_mub_per_cell=4.3 mass_density_g_cm3=7.3 crystal_system=cubic dos_ef_per_ev_cell=2.0 pbc="T T T"
Co 0.0000 0.0000 0.0000
Co -3.6768 -4.9484 -5.1241
K -2.4512 -3.2990 -3.4160
Rh -1.2256 -1.6495 -1.7080



# 3
4
Lattice="-1.0373 -1.4570 1.9534 -1.2838 -3.4444 -3.2507 5.4873 0.2317 1.2911" Properties=species:S:1:pos:R:3 comment="KCoRh2, single point on PBEsol structure, DFT meta-GGA SCAN" total_magnetization_mub_per_cell=3.4 mass_density_g_cm3=7.9 crystal_system=orthorhombic dos_ef_per_ev_cell=3.0 pbc="T T T"
Rh 1.8514 -0.9495 0.2749
Rh 1.3148 -3.7201 -0.2811
K -0.6419 -1.7222 -1.6253
Co -0.5186 -0.7285 0.9767



# 4
4
Lattice="2.7235 0.0000 0.0000 1.3617 2.3586 0.0000 1.3617 0.7862 9.5330" Properties=species:S:1:pos:R:3 comment="KCoRh2, single point on PBEsol structure, DFT meta-GGA SCAN" total_magnetization_mub_per_cell=3.2 mass_density_g_cm3=8.2 crystal_system=trigonal dos_ef_per_ev_cell=2.4 pbc="T T T"
Co 2.7235 1.5724 4.7665
Rh 4.0852 2.3586 6.7564
Rh 1.3617 0.7862 2.7766
K 0.0000 0.0000 0.0000



# 5
4
Lattice="2.7510 0.0000 0.0000 0.0000 4.7354 0.0000 0.0000 0.0000 4.7354" Properties=species:S:1:pos:R:3 comment="KCoRh2, single point on PBEsol structure, DFT meta-GGA SCAN" total_magnetization_mub_per_cell=3.5 mass_density_g_cm3=8.2 crystal_system=tetragonal dos_ef_per_ev_cell=4.0 pbc="T T T"
Rh 0.0000 2.3677 0.0000
Rh 0.0000 0.0000 2.3677
Co 1.3755 2.3677 2.3677
K 1.3755 0.0000 0.0000



# 6
4
Lattice="2.6726 0.0000 0.0000 1.3363 2.3145 0.0000 1.3363 0.7715 9.6171" Properties=species:S:1:pos:R:3 comment="KCo2Rh, single point on PBEsol structure, DFT meta-GGA SCAN" total_magnetization_mub_per_cell=4.1 mass_density_g_cm3=7.3 crystal_system=trigonal dos_ef_per_ev_cell=2.7 pbc="T T T"
K 2.6726 1.5430 4.8085
Co 1.3363 0.7715 2.0299
Co 4.0089 2.3145 7.5872
Rh 0.0000 0.0000 0.0000



One value per record, in order, for energy above the lowest structure with this stoichiometry: 1616.4; 372.3; 169.4; 0.0; 519.9; 0.0 meV per atom.
One value per record, in order, for ΔH_f (0 K): 3318; 1123; 633; 464; 984; 751 meV per atom.